# ZrTlRhS3, relaxed, DFT GGA-PBE
# total DFT energy (no corrections): -72.4 eV for the cell shown
# formation energy without anion corrections: -0.927 eV per atom
data_ZrTlRhS3
_cell_length_a 8.602
_cell_length_b 3.725
_cell_length_c 9.244
_cell_angle_alpha 90.00
_cell_angle_beta 110.33
_cell_angle_gamma 90.00
_symmetry_space_group_name_H-M 'P 1 21/m 1'
_symmetry_Int_Tables_number 11
_symmetry_space_group_name_Hall '-P 2yb'
loop_
_atom_site_label
_atom_site_type_symbol
_atom_site_fract_x
_atom_site_fract_y
_atom_site_fract_z
Zr1 Zr 0.185 0.250 0.159
Tl1 Tl 0.282 0.750 0.757
Rh1 Rh 0.407 0.750 0.401
S1 S 0.037 0.250 0.854
S2 S 0.277 0.250 0.454
S3 S 0.379 0.750 0.130



# Zr2CrHg, relaxed, DFT GGA-PBE
# total DFT energy (no corrections): -53.3 eV for the cell shown
# formation energy from the elements: 0.0990 eV/atom
# energy relative to the lowest polymorph listed for this composition: 0.113 eV/atom
data_Zr2CrHg
_cell_length_a 4.291
_cell_length_b 4.291
_cell_length_c 8.665
_cell_angle_alpha 90.00
_cell_angle_beta 90.00
_cell_angle_gamma 90.00
_symmetry_space_group_name_H-M 'I 4/m m m'
_symmetry_Int_Tables_number 139
_symmetry_space_group_name_Hall '-I 4 2'
loop_
_atom_site_label
_atom_site_type_symbol
_atom_site_fract_x
_atom_site_fract_y
_atom_site_fract_z
Zr1 Zr 0.000 0.500 0.250
Cr1 Cr 0.000 0.000 0.000
Hg1 Hg 0.000 0.000 0.500



# Ba3Sr7In4, relaxed, DFT GGA-PBE
# total DFT energy (no corrections): -63.5 eV for the cell shown
# formation energy from the elements: -0.2340 eV/atom
data_Ba3Sr7In4
_cell_length_a 20.474
_cell_length_b 5.717
_cell_length_c 13.227
_cell_angle_alpha 90.00
_cell_angle_beta 125.56
_cell_angle_gamma 90.00
_symmetry_space_group_name_H-M 'C 1 2/m 1'
_symmetry_Int_Tables_number 12
_symmetry_space_group_name_Hall '-C 2y'
loop_
_atom_site_label
_atom_site_type_symbol
_atom_site_fract_x
_atom_site_fract_y
_atom_site_fract_z
Ba1 Ba 0.000 0.000 0.000
Ba2 Ba 0.194 0.500 0.709
Sr1 Sr 0.000 0.000 0.500
Sr2 Sr 0.009 0.500 0.278
Sr3 Sr 0.168 0.000 0.415
Sr4 Sr 0.191 0.500 0.032
In1 In 0.105 0.000 0.828
In2 In 0.174 0.500 0.272



# BaTcHg2, relaxed, DFT GGA-PBE
# total DFT energy (no corrections): -49.9 eV for the cell shown
# formation energy from the elements: 0.1020 eV/atom
# energy relative to the lowest polymorph listed for this composition: 0.122 eV/atom
data_BaTcHg2
_cell_length_a 15.922
_cell_length_b 3.970
_cell_length_c 7.902
_cell_angle_alpha 90.00
_cell_angle_beta 109.78
_cell_angle_gamma 90.00
_symmetry_space_group_name_H-M 'C 1 2/m 1'
_symmetry_Int_Tables_number 12
_symmetry_space_group_name_Hall '-C 2y'
loop_
_atom_site_label
_atom_site_type_symbol
_atom_site_fract_x
_atom_site_fract_y
_atom_site_fract_z
Ba1 Ba 0.136 0.000 0.035
Tc1 Tc 0.235 0.500 0.417
Hg1 Hg 0.039 0.500 0.284
Hg2 Hg 0.141 0.500 0.676



# YCuSb2, relaxed, DFT GGA-PBE
# total DFT energy (no corrections): -19.9 eV for the cell shown
# formation energy without anion corrections: -0.271 eV per atom
# energy relative to the lowest polymorph listed for this composition: 0.350 eV/atom
data_YCuSb2
_cell_length_a 3.889
_cell_length_b 3.889
_cell_length_c 6.209
_cell_angle_alpha 90.00
_cell_angle_beta 90.00
_cell_angle_gamma 90.00
_symmetry_space_group_name_H-M 'P 4/m m m'
_symmetry_Int_Tables_number 123
_symmetry_space_group_name_Hall '-P 4 2'
loop_
_atom_site_label
_atom_site_type_symbol
_atom_site_fract_x
_atom_site_fract_y
_atom_site_fract_z
Y1 Y 0.000 0.000 0.000
Cu1 Cu 0.000 0.000 0.500
Sb1 Sb 0.500 0.500 0.268



# HgRhCl3, relaxed, DFT GGA-PBE
# total DFT energy (no corrections): -11.0 eV for the cell shown
# formation energy without anion corrections: 0.432 eV per atom
# energy relative to the lowest polymorph listed for this composition: 0.859 eV/atom
data_HgRhCl3
_cell_length_a 5.237
_cell_length_b 5.237
_cell_length_c 5.237
_cell_angle_alpha 90.00
_cell_angle_beta 90.00
_cell_angle_gamma 90.00
_symmetry_space_group_name_H-M 'P m -3 m'
_symmetry_Int_Tables_number 221
_symmetry_space_group_name_Hall '-P 4 2 3'
loop_
_atom_site_label
_atom_site_type_symbol
_atom_site_fract_x
_atom_site_fract_y
_atom_site_fract_z
Hg1 Hg 0.000 0.000 0.000
Rh1 Rh 0.500 0.500 0.500
Cl1 Cl 0.000 0.000 0.500